Entry 1:
# HfSi4Rh6 PBE-GGA relaxed
data_HfSi4Rh6
_cell_length_a 7.0016
_cell_length_b 7.0016
_cell_length_c 3.7133
_cell_angle_alpha 90.00
_cell_angle_beta 90.00
_cell_angle_gamma 120.00
_space_group_name_H-M_alt 'P -6 m 2'
_space_group_IT_number 187
_space_group_name_Hall 'P -6 2'
loop_
_atom_site_label
_atom_site_fract_x
_atom_site_fract_y
_atom_site_fract_z
Hf1 0.0000 0.0000 0.0000
Si1 0.3333 0.6667 0.0000
Si2 0.3955 0.1978 0.5000
Rh1 0.1933 0.3867 0.5000
Rh2 0.5328 0.0655 0.0000
# Crystal system ... hexagonal
# Uncorrected formation energy ... -906.7 meV per atom

Entry 2:
# Ca2HgPbBr8 PBE-GGA relaxed
data_Ca2HgPbBr8
_cell_length_a 6.684
_cell_length_b 8.808
_cell_length_c 7.045
_cell_angle_alpha 90.00
_cell_angle_beta 90.31
_cell_angle_gamma 90.00
_space_group_name_H-M_alt 'P 1 2/m 1'
_space_group_IT_number 10
loop_
_space_group_symop_operation_xyz
'x,y,z'
'-x,-y,-z'
'-x,y,-z'
'x,-y,z'
loop_
_atom_site_label
_atom_site_fract_x
_atom_site_fract_y
_atom_site_fract_z
Ca1 0.000 0.242 0.000
Hg1 0.500 0.000 0.500
Pb1 0.500 0.500 0.500
Br1 0.225 0.500 0.847
Br2 0.238 0.000 0.840
Br3 0.263 0.234 0.340
# Crystal system ... monoclinic
# Uncorrected formation energy ... -1317.2 meV per atom

Entry 3:
# Y7Ho3 PBE-GGA relaxed
data_Y7Ho3
_cell_length_a 18.121
_cell_length_b 5.449
_cell_length_c 7.053
_cell_angle_alpha 90.00
_cell_angle_beta 112.85
_cell_angle_gamma 90.00
_space_group_name_H-M_alt 'C 1 2/m 1'
_space_group_IT_number 12
loop_
_space_group_symop_operation_xyz
'x,y,z'
'-x,-y,-z'
'-x,y,-z'
'x,-y,z'
'x+1/2,y+1/2,z'
'-x+1/2,-y+1/2,-z'
'-x+1/2,y+1/2,-z'
'x+1/2,-y+1/2,z'
loop_
_atom_site_label
_atom_site_fract_x
_atom_site_fract_y
_atom_site_fract_z
Y1 0.000 0.000 0.000
Y2 0.110 0.500 0.360
Y3 0.110 0.500 0.860
Y4 0.200 0.000 0.700
Ho1 0.000 0.000 0.500
Ho2 0.199 0.000 0.200
# Crystal system ... monoclinic
# ΔH_f (0 K) ... 49 meV/atom
# Energy above the most stable polymorph in this dataset ... 0.000 eV/atom

Entry 4:
# Rb2PmAlS4 PBE-GGA relaxed
data_Rb2PmAlS4
_cell_length_a 8.082
_cell_length_b 8.612
_cell_length_c 11.838
_cell_angle_alpha 90.00
_cell_angle_beta 90.00
_cell_angle_gamma 90.00
_space_group_name_H-M_alt 'I m m a'
_space_group_IT_number 74
_space_group_name_Hall '-I 2b 2'
loop_
_atom_site_label
_atom_site_fract_x
_atom_site_fract_y
_atom_site_fract_z
Rb1 0.000 0.000 0.000
Rb2 0.250 0.250 0.250
Pm1 0.000 0.000 0.500
Al1 0.250 0.250 0.750
S1 0.000 0.058 0.740
S2 0.225 0.250 0.532
# Crystal system ... orthorhombic
# Uncorrected formation energy ... -1290.4 meV per atom

Entry 5:
# CaNd3Tl2 PBE-GGA relaxed
data_CaNd3Tl2
_cell_length_a 16.921
_cell_length_b 5.548
_cell_length_c 9.283
_cell_angle_alpha 90.00
_cell_angle_beta 115.24
_cell_angle_gamma 90.00
_space_group_name_H-M_alt 'C 1 2/m 1'
_space_group_IT_number 12
loop_
_space_group_symop_operation_xyz
'x,y,z'
'-x,-y,-z'
'-x,y,-z'
'x,-y,z'
'x+1/2,y+1/2,z'
'-x+1/2,-y+1/2,-z'
'-x+1/2,y+1/2,-z'
'x+1/2,-y+1/2,z'
loop_
_atom_site_label
_atom_site_fract_x
_atom_site_fract_y
_atom_site_fract_z
Ca1 0.136 0.000 0.199
Nd1 0.060 0.000 0.716
Nd2 0.118 0.500 0.535
Nd3 0.192 0.500 0.998
Tl1 0.018 0.500 0.171
Tl2 0.227 0.000 0.609
# Crystal system ... monoclinic
# ΔH_f (0 K) ... -175 meV/atom
# Energy above the most stable polymorph in this dataset ... 0.145 eV/atom

Entry 6:
# RbIn2TcPt PBE-GGA relaxed
data_RbIn2TcPt
_cell_length_a 5.969
_cell_length_b 5.969
_cell_length_c 5.229
_cell_angle_alpha 90.00
_cell_angle_beta 90.00
_cell_angle_gamma 90.00
_space_group_name_H-M_alt 'P 4/m m m'
_space_group_IT_number 123
_space_group_name_Hall '-P 4 2'
loop_
_atom_site_label
_atom_site_fract_x
_atom_site_fract_y
_atom_site_fract_z
Rb1 0.000 0.000 0.000
In1 0.000 0.500 0.000
Tc1 0.500 0.500 0.500
Pt1 0.000 0.000 0.500
# Crystal system ... tetragonal
# ΔH_f (0 K) ... 2025 meV/atom

Entry 7:
# KLaSnSe3 PBE-GGA relaxed
data_KLaSnSe3
_cell_length_a 8.579
_cell_length_b 4.329
_cell_length_c 11.912
_cell_angle_alpha 90.00
_cell_angle_beta 105.38
_cell_angle_gamma 90.00
_space_group_name_H-M_alt 'P 1 21/m 1'
_space_group_IT_number 11
loop_
_space_group_symop_operation_xyz
'x,y,z'
'-x,-y,-z'
'-x,y+1/2,-z'
'x,-y+1/2,z'
loop_
_atom_site_label
_atom_site_fract_x
_atom_site_fract_y
_atom_site_fract_z
K1 0.228 0.250 0.256
La1 0.348 0.750 0.851
Sn1 0.148 0.250 0.564
Se1 0.089 0.250 0.776
Se2 0.361 0.750 0.597
Se3 0.401 0.750 0.108
# Crystal system ... monoclinic
# Uncorrected formation energy ... -1329.8 meV per atom

Entry 8:
# CuSI2O PBE-GGA relaxed
data_CuSI2O
_cell_length_a 5.139
_cell_length_b 5.139
_cell_length_c 4.079
_cell_angle_alpha 90.00
_cell_angle_beta 90.00
_cell_angle_gamma 90.00
_space_group_name_H-M_alt 'P 4/m m m'
_space_group_IT_number 123
_space_group_name_Hall '-P 4 2'
loop_
_atom_site_label
_atom_site_fract_x
_atom_site_fract_y
_atom_site_fract_z
Cu1 0.000 0.000 0.000
S1 0.500 0.500 0.000
I1 0.000 0.500 0.500
O1 0.500 0.500 0.500
# Crystal system ... tetragonal
# Uncorrected formation energy ... 785.8 meV per atom
# Energy above the most stable polymorph in this dataset ... 0.385 eV/atom

Entry 9:
# LiSc2Tl PBE-GGA relaxed
data_LiSc2Tl
_cell_length_a 3.307
_cell_length_b 4.683
_cell_length_c 6.005
_cell_angle_alpha 90.00
_cell_angle_beta 105.76
_cell_angle_gamma 90.00
_space_group_name_H-M_alt 'P 1 m 1'
_space_group_IT_number 6
loop_
_space_group_symop_operation_xyz
'x,y,z'
'x,-y,z'
loop_
_atom_site_label
_atom_site_fract_x
_atom_site_fract_y
_atom_site_fract_z
Li1 0.000 0.000 0.000
Sc1 0.264 0.000 0.521
Sc2 0.608 0.500 0.212
Tl1 0.874 0.500 0.738
# Crystal system ... monoclinic
# ΔH_f (0 K) ... -116 meV/atom

Entry 10:
# B5C7 PBE-GGA relaxed
data_B5C7
_cell_length_a 8.960
_cell_length_b 2.551
_cell_length_c 7.753
_cell_angle_alpha 90.00
_cell_angle_beta 117.14
_cell_angle_gamma 90.00
_space_group_name_H-M_alt 'C 1 m 1'
_space_group_IT_number 8
loop_
_space_group_symop_operation_xyz
'x,y,z'
'x,-y,z'
'x+1/2,y+1/2,z'
'x+1/2,-y+1/2,z'
loop_
_atom_site_label
_atom_site_fract_x
_atom_site_fract_y
_atom_site_fract_z
B1 0.000 0.000 0.000
B2 0.003 0.000 0.487
B3 0.199 0.500 0.878
B4 0.335 0.000 0.170
B5 0.480 0.000 0.632
C1 0.005 0.500 0.150
C2 0.157 0.000 0.956
C3 0.168 0.500 0.339
C4 0.170 0.000 0.460
C5 0.323 0.000 0.674
C6 0.324 0.500 0.303
C7 0.325 0.500 0.784
# Crystal system ... monoclinic
# ΔH_f (0 K) ... 369 meV/atom
# Energy above the most stable polymorph in this dataset ... 0.111 eV/atom

Entry 11:
# Ca2AcPr PBE-GGA relaxed
data_Ca2AcPr
_cell_length_a 4.330
_cell_length_b 4.330
_cell_length_c 8.679
_cell_angle_alpha 90.00
_cell_angle_beta 90.00
_cell_angle_gamma 90.00
_space_group_name_H-M_alt 'P 4/m m m'
_space_group_IT_number 123
_space_group_name_Hall '-P 4 2'
loop_
_atom_site_label
_atom_site_fract_x
_atom_site_fract_y
_atom_site_fract_z
Ca1 0.000 0.000 0.236
Ac1 0.500 0.500 0.500
Pr1 0.500 0.500 0.000
# Crystal system ... tetragonal
# ΔH_f (0 K) ... 74 meV/atom
# Energy above the most stable polymorph in this dataset ... 0.056 eV/atom

Entry 12:
# Te2PbBrN PBE-GGA relaxed
data_Te2PbBrN
_cell_length_a 6.242
_cell_length_b 6.242
_cell_length_c 4.478
_cell_angle_alpha 90.00
_cell_angle_beta 90.00
_cell_angle_gamma 90.00
_space_group_name_H-M_alt 'P 4/m m m'
_space_group_IT_number 123
_space_group_name_Hall '-P 4 2'
loop_
_atom_site_label
_atom_site_fract_x
_atom_site_fract_y
_atom_site_fract_z
Te1 0.000 0.500 0.000
Pb1 0.000 0.000 0.000
Br1 0.500 0.500 0.500
N1 0.000 0.000 0.500
# Crystal system ... tetragonal
# Uncorrected formation energy ... 1129.7 meV per atom
# Energy above the most stable polymorph in this dataset ... 0.055 eV/atom

Entry 13:
# DyPuBiO2 PBE-GGA relaxed
data_DyPuBiO2
_cell_length_a 3.914
_cell_length_b 3.914
_cell_length_c 13.337
_cell_angle_alpha 90.00
_cell_angle_beta 90.00
_cell_angle_gamma 90.00
_space_group_name_H-M_alt 'I 4 m m'
_space_group_IT_number 107
_space_group_name_Hall 'I 4 -2'
loop_
_atom_site_label
_atom_site_fract_x
_atom_site_fract_y
_atom_site_fract_z
Dy1 0.000 0.000 0.000
Pu1 0.000 0.000 0.674
Bi1 0.000 0.000 0.334
O1 0.000 0.500 0.083
# Crystal system ... tetragonal
# Uncorrected formation energy ... -2426.7 meV per atom

Entry 14:
# Na2PrTlI6 PBE-GGA relaxed
data_Na2PrTlI6
_cell_length_a 8.2326
_cell_length_b 8.2326
_cell_length_c 22.6097
_cell_angle_alpha 90.00
_cell_angle_beta 90.00
_cell_angle_gamma 120.00
_space_group_name_H-M_alt 'R 3'
_space_group_IT_number 146
_space_group_name_Hall 'R 3'
loop_
_atom_site_label
_atom_site_fract_x
_atom_site_fract_y
_atom_site_fract_z
Na1 0.0000 0.0000 0.0000
Na2 0.0000 0.0000 0.4894
Pr1 0.0000 0.0000 0.6785
Tl1 0.0000 0.0000 0.1907
I1 0.0000 0.3437 0.4173
I2 0.0189 0.6302 0.2559
# Crystal system ... trigonal
# Uncorrected formation energy ... -1193.4 meV per atom

Entry 15:
# KMn2Pt PBE-GGA relaxed
data_KMn2Pt
_cell_length_a 2.894
_cell_length_b 5.546
_cell_length_c 10.975
_cell_angle_alpha 90.00
_cell_angle_beta 90.00
_cell_angle_gamma 90.00
_space_group_name_H-M_alt 'I m m m'
_space_group_IT_number 71
_space_group_name_Hall '-I 2 2'
loop_
_atom_site_label
_atom_site_fract_x
_atom_site_fract_y
_atom_site_fract_z
K1 0.000 0.000 0.000
Mn1 0.000 0.500 0.200
Pt1 0.000 0.000 0.500
# Crystal system ... orthorhombic
# ΔH_f (0 K) ... 488 meV/atom
# Energy above the most stable polymorph in this dataset ... 0.140 eV/atom

Entry 16:
# La2NdDyTl2 PBE-GGA relaxed
data_La2NdDyTl2
_cell_length_a 5.200
_cell_length_b 10.361
_cell_length_c 7.004
_cell_angle_alpha 90.00
_cell_angle_beta 90.00
_cell_angle_gamma 90.00
_space_group_name_H-M_alt 'P m c 21'
_space_group_IT_number 26
loop_
_space_group_symop_operation_xyz
'x,y,z'
'-x,-y,z+1/2'
'-x,y,z'
'x,-y,z+1/2'
loop_
_atom_site_label
_atom_site_fract_x
_atom_site_fract_y
_atom_site_fract_z
La1 0.000 0.061 0.000
La2 0.500 0.176 0.230
Nd1 0.500 0.455 0.875
Dy1 0.000 0.306 0.586
Tl1 0.000 0.385 0.139
Tl2 0.500 0.147 0.710
# Crystal system ... orthorhombic
# ΔH_f (0 K) ... -288 meV/atom

Entry 17:
# NaLaInCu2 PBE-GGA relaxed
data_NaLaInCu2
_cell_length_a 4.834
_cell_length_b 4.834
_cell_length_c 5.679
_cell_angle_alpha 90.00
_cell_angle_beta 90.00
_cell_angle_gamma 90.00
_space_group_name_H-M_alt 'P 4/m m m'
_space_group_IT_number 123
_space_group_name_Hall '-P 4 2'
loop_
_atom_site_label
_atom_site_fract_x
_atom_site_fract_y
_atom_site_fract_z
Na1 0.000 0.000 0.000
La1 0.000 0.000 0.500
In1 0.500 0.500 0.500
Cu1 0.000 0.500 0.000
# Crystal system ... tetragonal
# ΔH_f (0 K) ... 761 meV/atom

| no. | M_tot (μB/atom) |
| --- | --- |
| 1 | 0.000 |
| 2 | 0.000 |
| 3 | 0.000 |
| 4 | 0.000 |
| 5 | 0.000 |
| 6 | 0.801 |
| 7 | 0.000 |
| 8 | 0.000 |
| 9 | 0.000 |
| 10 | 0.000 |
| 11 | 0.000 |
| 12 | 0.923 |
| 13 | 0.953 |
| 14 | 0.000 |
| 15 | 2.173 |
| 16 | 0.000 |
| 17 | 0.000 |